[1]
Computed, not measured: crystalline Cd2ReAu at its relaxed geometry at the PBEsol level of DFT.

## Properties
The value obtained for the formation energy is 0.44 eV per atom. The energy above the lowest structure with this stoichiometry is 27 kJ/mol of formula units.

Cell lengths 2.7500, 4.2773, 5.8683 Å; angles 90.00, 90.00, 90.00 degrees
Last column: nearest neighbours and their distance in Å.
Space group Pmmm (No. 47)
One atom of each set of equivalent atoms:
Cd1 0.0000 0.0000 0.2430  4 Cd 2.75-3.02, 4 Re 2.92, 4 Au 2.96
Re1 0.5000 0.5000 0.0000  2 Re 2.75, 8 Cd 2.92, 2 Au 2.93
Au1 0.5000 0.5000 0.5000  2 Au 2.75, 2 Re 2.93, 8 Cd 2.96



[2]
Computed, not measured: crystalline Sc7Sb at its relaxed geometry at the PBEsol level of DFT.

## Properties
The uncorrected formation energy comes out at -220 meV/atom.

Cell lengths 8.9767, 8.9767, 8.9767 Å; angles 90.00, 90.00, 90.00 degrees
Last column: nearest neighbours and their distance in Å.
Space group Fm-3m (No. 225)
One atom of each set of equivalent atoms:
Sc1 0.0000 0.0000 0.0000  12 Sc 3.17
Sc2 0.0000 0.2500 0.2500  10 Sc 3.17, 2 Sb 3.17
Sb1 0.0000 0.0000 0.5000  12 Sc 3.17



[3]
Computed, not measured: crystalline TmCu3Te3 at its relaxed geometry at the PBEsol level of DFT.

## Properties
The uncorrected formation energy comes out at -512 meV/atom. The energy above the lowest structure with this stoichiometry is 0 kJ/mol of formula units.

Cell lengths 6.7591, 7.4839, 12.5687 Å; angles 90.00, 90.00, 90.00 degrees
Last column: nearest neighbours and their distance in Å.
Space group Pnnm (No. 58)
One atom of each set of equivalent atoms:
Tm1 0.0000 0.0000 0.1603  2 Cu 2.88, 6 Te 2.98-3.05
Cu1 0.1235 0.3677 0.1744  4 Te 2.56-2.67, 1 Cu 2.59
Cu2 0.1318 0.3749 0.5000  1 Cu 2.58, 4 Te 2.59-2.65
Te1 0.2330 0.1829 0.3377  4 Cu 2.56-2.67
Te2 0.2501 0.2040 0.0000  4 Cu 2.59-2.65



[4]
Computed, not measured: crystalline RbAgMo3 at its relaxed geometry at the PBEsol level of DFT.

## Properties
The value obtained for the formation energy is 3.18 eV per atom.

Cell lengths 4.5848, 4.5848, 4.5848 Å; angles 90.00, 90.00, 90.00 degrees
Last column: nearest neighbours and their distance in Å.
Space group Pm-3m (No. 221)
One atom of each set of equivalent atoms:
Rb1 0.0000 0.0000 0.0000  6 Mo 2.29
Ag1 0.5000 0.5000 0.5000  12 Mo 3.24
Mo1 0.0000 0.0000 0.5000  2 Rb 2.29



[5]
Computed, not measured: crystalline Li3Ag at its relaxed geometry at the PBEsol level of DFT.

## Properties
The value obtained for the formation energy is -0.13 eV per atom. The energy above the lowest structure with this stoichiometry is 0 kJ/mol of formula units.

Cell lengths 6.3647, 6.3647, 6.3647 Å; angles 90.00, 90.00, 90.00 degrees
Last column: nearest neighbours and their distance in Å.
Space group Fm-3m (No. 225)
One atom of each set of equivalent atoms:
Li1 0.0000 0.0000 0.0000  8 Li 2.76
Li2 0.2500 0.2500 0.2500  4 Li 2.76, 4 Ag 2.76
Ag1 0.0000 0.0000 0.5000  8 Li 2.76



[6]
Computed, not measured: crystalline HfMnF2 at its relaxed geometry at the PBEsol level of DFT.

## Properties
The uncorrected formation energy comes out at -814 meV/atom.

Cell lengths 5.8713, 5.8713, 5.8713 Å; angles 90.00, 90.00, 90.00 degrees
Last column: nearest neighbours and their distance in Å.
Space group Fm-3m (No. 225)
One atom of each set of equivalent atoms:
Hf1 0.0000 0.0000 0.0000  8 F 2.54
Mn1 0.0000 0.0000 0.5000  8 F 2.54
F1 0.2500 0.2500 0.2500  4 Hf 2.54, 4 Mn 2.54



[7]
Computed, not measured: crystalline Li2TaTc at its relaxed geometry at the PBEsol level of DFT.

## Properties
The value obtained for the formation energy is 0.29 eV per atom. The energy above the lowest structure with this stoichiometry is 21 kJ/mol of formula units.

Cell lengths 2.6488, 4.8919, 4.7702 Å; angles 90.00, 99.57, 90.00 degrees
Last column: nearest neighbours and their distance in Å.
Space group P2/m (No. 10)
One atom of each set of equivalent atoms:
Li1 0.2219 0.0000 0.2642  5 Li 2.48-2.71
Ta1 0.5000 0.5000 0.0000  2 Tc 2.53, 2 Ta 2.65
Tc1 0.0000 0.5000 0.5000  2 Ta 2.53, 2 Tc 2.65, 4 Li 2.80



[8]
Computed, not measured: crystalline TlSb2Rh2 at its relaxed geometry at the PBEsol level of DFT.

## Properties
The uncorrected formation energy comes out at -224 meV/atom.

Cell lengths 4.0886, 4.0886, 13.8377 Å; angles 90.00, 90.00, 90.00 degrees
Last column: nearest neighbours and their distance in Å.
Space group I4/mmm (No. 139)
One atom of each set of equivalent atoms:
Tl1 0.0000 0.0000 0.0000  8 Sb 3.46
Sb1 0.0000 0.0000 0.3631  4 Rh 2.57
Rh1 0.0000 0.5000 0.2500  4 Sb 2.57



[9]
Computed, not measured: crystalline KNa3Cd at its relaxed geometry at the PBEsol level of DFT.

## Properties
The value obtained for the formation energy is 0.06 eV per atom.

Cell lengths 5.9527, 5.9527, 5.9527 Å; angles 90.00, 90.00, 90.00 degrees
Last column: nearest neighbours and their distance in Å.
Space group Pm-3m (No. 221)
One atom of each set of equivalent atoms:
K1 0.0000 0.0000 0.0000  12 Na 4.21
Na1 0.0000 0.5000 0.5000  2 Cd 2.98
Cd1 0.5000 0.5000 0.5000  6 Na 2.98



[10]
Computed, not measured: crystalline CrSi2Ru at its relaxed geometry at the PBEsol level of DFT.

## Properties
The uncorrected formation energy comes out at -317 meV/atom.

Cell lengths 2.7481, 4.3082, 4.1492 Å; angles 90.00, 90.00, 90.00 degrees
Last column: nearest neighbours and their distance in Å.
Space group Pmm2 (No. 25)
One atom of each set of equivalent atoms:
Cr1 0.0000 0.0000 0.0000  6 Si 2.45-2.53, 4 Ru 2.69
Si1 0.0000 0.5000 0.3090  4 Ru 2.46-2.52, 2 Cr 2.51, 6 Si 2.66-2.75
Si2 0.5000 0.0000 0.4882  4 Cr 2.45-2.53, 2 Ru 2.51, 4 Si 2.66
Ru1 0.5000 0.5000 0.7993  6 Si 2.46-2.52, 4 Cr 2.69, 2 Ru 2.75



[11]
Computed, not measured: crystalline Na3CuO3 at its relaxed geometry at the PBEsol level of DFT.

## Properties
The uncorrected formation energy comes out at -1146 meV/atom. The energy above the lowest structure with this stoichiometry is 0 kJ/mol of formula units.

Cell lengths 10.8848, 12.0055, 16.2907 Å; angles 90.00, 90.00, 90.00 degrees
Last column: nearest neighbours and their distance in Å.
Space group Cmce (No. 64)
One atom of each set of equivalent atoms:
Na1 0.0000 0.0244 0.2191  6 O 2.38-2.57, 1 Na 2.56
Na2 0.0000 0.1718 0.7195  6 O 2.39-2.53, 1 Na 2.56
Na3 0.1598 0.1776 0.3150  4 O 2.31-2.43
Na4 0.1968 0.1764 0.5703  6 O 2.38-2.63
Na5 0.2029 0.0258 0.0869  5 O 2.32-2.45
Na6 0.2500 0.0829 0.7500  4 O 2.21-2.22
Cu1 0.0000 0.0011 0.5836  4 O 1.81-1.86
Cu2 0.0000 0.1519 0.9219  4 O 1.81-1.85
Cu3 0.0000 0.1720 0.0908  4 O 1.84-1.86
O1 0.1136 0.1624 0.0062  2 Cu 1.85-1.86
O2 0.1160 0.0000 0.5000  2 Cu 1.86
O3 0.1190 0.0091 0.6609  1 Cu 1.81
O4 0.1199 0.1379 0.8457  1 Cu 1.81
O5 0.1236 0.1789 0.1678  1 Cu 1.84



[12]
Computed, not measured: crystalline Be3TlAs at its relaxed geometry at the PBEsol level of DFT.

## Properties
The value obtained for the formation energy is 0.79 eV per atom.

Cell lengths 4.3659, 4.3659, 4.3659 Å; angles 90.00, 90.00, 90.00 degrees
Last column: nearest neighbours and their distance in Å.
Space group Pm-3m (No. 221)
One atom of each set of equivalent atoms:
Be1 0.0000 0.0000 0.5000  2 As 2.18
Tl1 0.5000 0.5000 0.5000  12 Be 3.09
As1 0.0000 0.0000 0.0000  6 Be 2.18



[13]
Computed, not measured: crystalline Sc2ReMo at its relaxed geometry at the PBEsol level of DFT.

## Properties
The value obtained for the formation energy is -0.08 eV per atom. The energy above the lowest structure with this stoichiometry is 0 kJ/mol of formula units.

Cell lengths 3.1304, 3.1304, 7.5391 Å; angles 90.00, 90.00, 90.00 degrees
Last column: nearest neighbours and their distance in Å.
Space group P4mm (No. 99)
One atom of each set of equivalent atoms:
Sc1 0.0000 0.0000 0.0000  4 Re 2.81, 4 Sc 3.13
Sc2 0.5000 0.5000 0.3429  4 Mo 2.84, 4 Sc 3.13
Re1 0.5000 0.5000 0.7694  4 Mo 2.64, 4 Sc 2.81
Mo1 0.0000 0.0000 0.5794  4 Re 2.64, 4 Sc 2.84



[14]
Computed, not measured: crystalline SiAgSN2 at its relaxed geometry at the PBEsol level of DFT.

## Properties
The uncorrected formation energy comes out at 1806 meV/atom.

Cell lengths 3.9593, 3.9593, 5.0735 Å; angles 90.00, 90.00, 90.00 degrees
Last column: nearest neighbours and their distance in Å.
Space group P4/mmm (No. 123)
One atom of each set of equivalent atoms:
Si1 0.0000 0.0000 0.0000  4 S 2.80
Ag1 0.5000 0.5000 0.5000  4 N 1.98
S1 0.5000 0.5000 0.0000  2 Ag 2.54, 4 Si 2.80
N1 0.0000 0.5000 0.5000  2 Ag 1.98



[15]
Computed, not measured: crystalline CoSbH2Rh at its relaxed geometry at the PBEsol level of DFT.

## Properties
For the total energy, the calculation gives -4.61 eV/atom.

Cell lengths 3.5840, 3.5840, 5.3095 Å; angles 90.00, 90.00, 90.00 degrees
Last column: nearest neighbours and their distance in Å.
Space group P4/mmm (No. 123)
One atom of each set of equivalent atoms:
Co1 0.0000 0.0000 0.0000  4 Rh 2.53
Sb1 0.5000 0.5000 0.5000  4 H 1.79
H1 0.0000 0.5000 0.5000  2 Sb 1.79
Rh1 0.5000 0.5000 0.0000  4 Co 2.53, 2 Sb 2.65



[16]
Computed, not measured: crystalline Be2TcHg at its relaxed geometry at the PBEsol level of DFT.

## Properties
The value obtained for the formation energy is 0.27 eV per atom.

Cell lengths 2.7051, 3.0758, 6.0698 Å; angles 90.00, 90.00, 90.00 degrees
Last column: nearest neighbours and their distance in Å.
Space group Pmm2 (No. 25)
One atom of each set of equivalent atoms:
Be1 0.0000 0.0000 0.0000  4 Be 2.31, 4 Tc 2.40
Be2 0.5000 0.5000 0.1769  4 Be 2.31, 1 Tc 2.33
Tc1 0.5000 0.5000 0.7933  5 Be 2.33-2.40
Hg1 0.0000 0.0000 0.4504  5 Be 2.64-2.73, 2 Hg 2.71, 4 Tc 2.92



[17]
Computed, not measured: crystalline TlInIr at its relaxed geometry at the PBEsol level of DFT.

## Properties
The value obtained for the formation energy is 0.25 eV per atom.

Cell lengths 3.1191, 3.1191, 12.5340 Å; angles 90.00, 90.00, 90.00 degrees
Last column: nearest neighbours and their distance in Å.
Space group I4mm (No. 107)
One atom of each set of equivalent atoms:
Tl1 0.0000 0.0000 0.0000  4 Ir 2.94, 4 Tl 3.12
In1 0.0000 0.0000 0.7141  4 Ir 2.74
Ir1 0.0000 0.0000 0.3444  4 In 2.74, 4 Tl 2.94



[18]
Computed, not measured: crystalline SnS2 at its relaxed geometry at the PBEsol level of DFT.

## Properties
The uncorrected formation energy comes out at -294 meV/atom.

Cell lengths 5.6912, 5.6912, 10.0186 Å; angles 90.00, 90.00, 90.00 degrees
Last column: nearest neighbours and their distance in Å.
Space group I-42d (No. 122)
One atom of each set of equivalent atoms:
Sn1 0.0000 0.0000 0.0000  4 S 2.41
S1 0.2387 0.7500 0.6250  2 Sn 2.41



[19]
Computed, not measured: crystalline SiPbSe3 at its relaxed geometry at the PBEsol level of DFT.

## Properties
The uncorrected formation energy comes out at -78 meV/atom.

Cell lengths 4.8542, 4.8542, 4.8542 Å; angles 90.00, 90.00, 90.00 degrees
Last column: nearest neighbours and their distance in Å.
Space group Pm-3m (No. 221)
One atom of each set of equivalent atoms:
Si1 0.0000 0.0000 0.0000  6 Se 2.43
Pb1 0.5000 0.5000 0.5000  12 Se 3.43
Se1 0.0000 0.0000 0.5000  2 Si 2.43



[20]
Computed, not measured: crystalline CrTeRh3 at its relaxed geometry at the PBEsol level of DFT.

## Properties
The uncorrected formation energy comes out at 827 meV/atom.

Cell lengths 4.4356, 4.4356, 4.4356 Å; angles 90.00, 90.00, 90.00 degrees
Last column: nearest neighbours and their distance in Å.
Space group Pm-3m (No. 221)
One atom of each set of equivalent atoms:
Cr1 0.0000 0.0000 0.0000  6 Rh 2.22
Te1 0.5000 0.5000 0.5000  12 Rh 3.14
Rh1 0.0000 0.0000 0.5000  2 Cr 2.22



[21]
Computed, not measured: crystalline KY4Mo at its relaxed geometry at the PBEsol level of DFT.

## Properties
The value obtained for the formation energy is 1.09 eV per atom.

Cell lengths 9.0533, 9.0533, 9.0533 Å; angles 90.00, 90.00, 90.00 degrees
Last column: nearest neighbours and their distance in Å.
Space group F-43m (No. 216)
One atom of each set of equivalent atoms:
K1 0.0000 0.0000 0.0000  12 Y 3.76, 4 Mo 3.92
Y1 0.1215 0.1215 0.6215  6 Y 3.11-3.29
Mo1 0.2500 0.2500 0.2500  12 Y 3.74, 4 K 3.92



[22]
Computed, not measured: crystalline Ca2ScAgPt at its relaxed geometry at the PBEsol level of DFT.

## Properties
The value obtained for the formation energy is 1.04 eV per atom.

Cell lengths 5.5017, 5.5017, 4.6812 Å; angles 90.00, 90.00, 90.00 degrees
Last column: nearest neighbours and their distance in Å.
Space group P4/mmm (No. 123)
One atom of each set of equivalent atoms:
Ca1 0.0000 0.5000 0.0000  2 Sc 2.75
Sc1 0.0000 0.0000 0.0000  2 Ag 2.34
Ag1 0.0000 0.0000 0.5000  2 Sc 2.34
Pt1 0.5000 0.5000 0.5000  8 Ca 3.61, 4 Ag 3.89



[23]
Computed, not measured: crystalline CuHgAs2 at its relaxed geometry at the PBEsol level of DFT.

## Properties
The value obtained for the formation energy is 0.43 eV per atom.

Cell lengths 6.6098, 6.6098, 6.6098 Å; angles 90.00, 90.00, 90.00 degrees
Last column: nearest neighbours and their distance in Å.
Space group F-43m (No. 216)
One atom of each set of equivalent atoms:
Cu1 0.0000 0.0000 0.0000  4 As 2.86, 4 Hg 2.86
Hg1 0.2500 0.2500 0.7500  4 Cu 2.86, 4 As 2.86
As1 0.0000 0.0000 0.5000  4 Hg 2.86, 4 As 2.86
As2 0.2500 0.2500 0.2500  4 As 2.86, 4 Cu 2.86